(1)
Li3Zn4Cd | PBE-GGA | optimized geometry

Unit cell a=5.2937 b=9.1342 c=5.3334 alpha=90.00 beta=90.00 gamma=90.00
Last column: nearest neighbours and their distance in Å.
Space group Imm2 (No. 44)
Inequivalent atoms, fractional coordinates:
1 Li 0.0000 0.0000 0.0000 (multiplicity 2)  2 Zn 2.58, 2 Li 2.61, 2 Cd 2.65
2 Li 0.0000 0.2442 0.7469 (multiplicity 4)  1 Li 2.61, 4 Zn 2.65-2.67, 1 Cd 2.69
3 Zn 0.0000 0.2425 0.2464 (multiplicity 4)  5 Li 2.58-2.67, 1 Cd 2.70, 2 Zn 2.88
4 Zn 0.2466 0.0000 0.4902 (multiplicity 4)  4 Zn 2.61-2.88, 1 Li 2.92
5 Cd 0.0000 0.5000 0.4969 (multiplicity 2)  4 Li 2.65-2.69, 4 Zn 2.70-2.95

Output
energy above the most stable polymorph in this dataset	88	meV per atom
total moment	0.000	μB per atom
calculated volume	16.1	A^3/atom

=====

(2)
Li9Zn2Cd | PBE-GGA | optimized geometry

Unit cell a=4.1218 b=4.1218 c=12.1582 alpha=90.00 beta=90.00 gamma=90.00
Last column: nearest neighbours and their distance in Å.
Space group P4/mmm (No. 123)
Inequivalent atoms, fractional coordinates:
1 Li 0.0000 0.0000 0.0000 (multiplicity 1)  4 Cd 2.91, 8 Li 2.97
2 Li 0.0000 0.0000 0.3397 (multiplicity 2)  8 Li 2.84-2.86, 4 Zn 2.91
3 Li 0.0000 0.5000 0.1761 (multiplicity 4)  2 Zn 2.85, 8 Li 2.86-2.97, 2 Cd 2.97
4 Li 0.0000 0.5000 0.5000 (multiplicity 2)  8 Li 2.84-2.91, 4 Zn 2.85
5 Zn 0.5000 0.5000 0.3383 (multiplicity 2)  12 Li 2.85-2.91
6 Cd 0.5000 0.5000 0.0000 (multiplicity 1)  12 Li 2.91-2.97

Output
total moment	0.000	μB per atom
calculated volume	17.2	A^3/atom

=====

(3)
Li2ZrCd | PBE-GGA | optimized geometry

Unit cell a=4.2273 b=4.2273 c=4.5512 alpha=90.00 beta=90.00 gamma=90.00
Last column: nearest neighbours and their distance in Å.
Space group P4/mmm (No. 123)
Inequivalent atoms, fractional coordinates:
1 Li 0.0000 0.5000 0.0000 (multiplicity 2)  4 Li 2.99, 4 Cd 3.11, 4 Zr 3.11
2 Zr 0.0000 0.0000 0.5000 (multiplicity 1)  4 Cd 2.99, 8 Li 3.11
3 Cd 0.5000 0.5000 0.5000 (multiplicity 1)  4 Zr 2.99, 8 Li 3.11

Output
total moment	0.307	μB per atom
calculated volume	20.3	A^3/atom

=====

(4)
Li2ZrCd | PBE-GGA | optimized geometry

Unit cell a=2.9988 b=5.0043 c=10.2367 alpha=90.00 beta=90.00 gamma=90.00
Last column: nearest neighbours and their distance in Å.
Space group Imm2 (No. 44)
Inequivalent atoms, fractional coordinates:
1 Li 0.0000 0.0000 0.0000 (multiplicity 2)  4 Li 2.78-3.00, 4 Cd 2.96
2 Li 0.0000 0.5000 0.2708 (multiplicity 2)  2 Cd 2.72, 4 Li 2.78-3.00, 4 Zr 2.92
3 Zr 0.0000 0.5000 0.7812 (multiplicity 2)  6 Li 2.92-3.25, 2 Zr 3.00, 2 Cd 3.12
4 Cd 0.0000 0.0000 0.5486 (multiplicity 2)  6 Li 2.72-2.96, 2 Cd 3.00

Output
total moment	0.000	μB per atom
calculated volume	19.2	A^3/atom

=====

(5)
LiZrCd | PBE-GGA | optimized geometry

Unit cell a=6.3020 b=6.3020 c=6.3020 alpha=90.00 beta=90.00 gamma=90.00
Last column: nearest neighbours and their distance in Å.
Space group F-43m (No. 216)
Inequivalent atoms, fractional coordinates:
1 Li 0.0000 0.0000 0.0000 (multiplicity 4)  4 Zr 2.73, 4 Cd 2.73
2 Zr 0.2500 0.2500 0.7500 (multiplicity 4)  4 Li 2.73
3 Cd 0.2500 0.2500 0.2500 (multiplicity 4)  4 Li 2.73

Output
energy above the most stable polymorph in this dataset	580	meV per atom
total moment	0.000	μB per atom
calculated volume	20.9	A^3/atom

=====

(6)
Li2ZrCd | PBE-GGA | optimized geometry

Unit cell a=2.9911 b=2.9911 c=31.5075 alpha=90.00 beta=90.00 gamma=120.00
Last column: nearest neighbours and their distance in Å.
Space group R-3m (No. 166, hexagonal axes)
Inequivalent atoms, fractional coordinates:
1 Li 0.0000 0.0000 0.2469 (multiplicity 6)  6 Li 2.99, 3 Cd 3.06, 3 Zr 3.22
2 Zr 0.0000 0.0000 0.0000 (multiplicity 3)  6 Zr 2.99, 6 Li 3.22
3 Cd 0.0000 0.0000 0.5000 (multiplicity 3)  6 Cd 2.99, 6 Li 3.06

Output
total moment	0.000	μB per atom
calculated volume	20.3	A^3/atom

=====

(7)
LiZr2Cd | PBE-GGA | optimized geometry

Unit cell a=5.7224 b=10.6591 c=2.9049 alpha=90.00 beta=108.61 gamma=90.00
Last column: nearest neighbours and their distance in Å.
Space group C2/m (No. 12)
Inequivalent atoms, fractional coordinates:
1 Li 0.0000 0.0000 0.0000 (multiplicity 2)  2 Cd 2.86, 2 Li 2.90, 4 Zr 3.15
2 Zr 0.2500 0.2500 0.5000 (multiplicity 4)  4 Zr 2.86-2.90, 2 Cd 3.15, 2 Li 3.15
3 Cd 0.0000 0.5000 0.0000 (multiplicity 2)  2 Li 2.86, 2 Cd 2.90, 4 Zr 3.15

Output
total moment	0.000	μB per atom
calculated volume	21.0	A^3/atom

=====

(8)
LiZrCd3 | PBE-GGA | optimized geometry

Unit cell a=4.6603 b=4.6603 c=4.6603 alpha=90.00 beta=90.00 gamma=90.00
Last column: nearest neighbours and their distance in Å.
Space group Pm-3m (No. 221)
Inequivalent atoms, fractional coordinates:
1 Li 0.0000 0.0000 0.0000 (multiplicity 1)  6 Cd 2.33
2 Zr 0.5000 0.5000 0.5000 (multiplicity 1)  12 Cd 3.30
3 Cd 0.0000 0.0000 0.5000 (multiplicity 3)  2 Li 2.33

Output
energy above the most stable polymorph in this dataset	313	meV per atom
total moment	0.000	μB per atom
calculated volume	20.2	A^3/atom

=====

(9)
Li2ZrCd | PBE-GGA | optimized geometry

Unit cell a=2.9710 b=2.9710 c=8.8318 alpha=90.00 beta=90.00 gamma=90.00
Last column: nearest neighbours and their distance in Å.
Space group P4/mmm (No. 123)
Inequivalent atoms, fractional coordinates:
1 Li 0.0000 0.0000 0.2263 (multiplicity 2)  4 Cd 2.90, 4 Li 2.97, 4 Zr 3.20
2 Zr 0.5000 0.5000 0.5000 (multiplicity 1)  4 Zr 2.97, 8 Li 3.20
3 Cd 0.5000 0.5000 0.0000 (multiplicity 1)  8 Li 2.90, 4 Cd 2.97

Output
total moment	0.000	μB per atom
calculated volume	19.5	A^3/atom

=====

(10)
Li2ZrCd | PBE-GGA | optimized geometry

Unit cell a=3.0086 b=3.0086 c=8.8595 alpha=90.00 beta=90.00 gamma=90.00
Last column: nearest neighbours and their distance in Å.
Space group P4mm (No. 99)
Inequivalent atoms, fractional coordinates:
1 Li 0.0000 0.0000 0.0000 (multiplicity 1)  4 Cd 2.88, 8 Li 3.00-3.01
2 Li 0.5000 0.5000 0.2390 (multiplicity 1)  8 Li 3.00-3.01, 4 Zr 3.24
3 Zr 0.0000 0.0000 0.5151 (multiplicity 1)  4 Zr 3.01, 4 Cd 3.17, 4 Li 3.24
4 Cd 0.5000 0.5000 0.7806 (multiplicity 1)  4 Li 2.88, 4 Cd 3.01, 4 Zr 3.17

Output
total moment	0.000	μB per atom
calculated volume	20.0	A^3/atom

=====

(11)
LiZr2Cd | PBE-GGA | optimized geometry

Unit cell a=7.0243 b=7.0243 c=7.0243 alpha=90.00 beta=90.00 gamma=90.00
Last column: nearest neighbours and their distance in Å.
Space group F-43m (No. 216)
Inequivalent atoms, fractional coordinates:
1 Li 0.0000 0.0000 0.0000 (multiplicity 4)  4 Cd 3.04, 4 Zr 3.04
2 Zr 0.0000 0.0000 0.5000 (multiplicity 4)  4 Cd 3.04, 4 Zr 3.04
3 Zr 0.2500 0.2500 0.2500 (multiplicity 4)  4 Zr 3.04, 4 Li 3.04
4 Cd 0.2500 0.2500 0.7500 (multiplicity 4)  4 Zr 3.04, 4 Li 3.04

Output
total moment	0.764	μB per atom
calculated volume	21.7	A^3/atom

=====

(12)
Li2ZrCd | PBE-GGA | optimized geometry

Unit cell a=7.4530 b=7.4530 c=5.8342 alpha=90.00 beta=90.00 gamma=90.00
Last column: nearest neighbours and their distance in Å.
Space group I-42d (No. 122)
Inequivalent atoms, fractional coordinates:
1 Li 0.2223 0.2500 0.1250 (multiplicity 8)  2 Cd 2.60, 2 Zr 2.88
2 Zr 0.0000 0.0000 0.5000 (multiplicity 4)  4 Li 2.88, 2 Cd 2.92
3 Cd 0.0000 0.0000 0.0000 (multiplicity 4)  4 Li 2.60

Output
total moment	0.158	μB per atom
calculated volume	20.3	A^3/atom

=====

(13)
LiZr2Cd | PBE-GGA | optimized geometry

Unit cell a=3.1878 b=4.8779 c=5.4097 alpha=90.00 beta=90.00 gamma=90.00
Last column: nearest neighbours and their distance in Å.
Space group Pmmm (No. 47)
Inequivalent atoms, fractional coordinates:
1 Li 0.0000 0.0000 0.0000 (multiplicity 1)  4 Cd 2.91, 4 Zr 3.14, 2 Li 3.19
2 Zr 0.0000 0.5000 0.5000 (multiplicity 1)  6 Zr 2.91-3.19, 4 Cd 3.14
3 Zr 0.5000 0.0000 0.5000 (multiplicity 1)  6 Zr 2.91-3.19, 4 Li 3.14
4 Cd 0.5000 0.5000 0.0000 (multiplicity 1)  4 Li 2.91, 4 Zr 3.14, 2 Cd 3.19

Output
total moment	0.000	μB per atom
calculated volume	21.0	A^3/atom

=====

(14)
LiZrCd4 | PBE-GGA | optimized geometry

Unit cell a=8.0800 b=8.0800 c=8.0800 alpha=90.00 beta=90.00 gamma=90.00
Last column: nearest neighbours and their distance in Å.
Space group F-43m (No. 216)
Inequivalent atoms, fractional coordinates:
1 Li 0.0000 0.0000 0.0000 (multiplicity 4)  12 Cd 3.35, 4 Zr 3.50
2 Zr 0.2500 0.2500 0.7500 (multiplicity 4)  12 Cd 3.35, 4 Li 3.50
3 Cd 0.1246 0.1246 0.3754 (multiplicity 16)  6 Cd 2.85-2.87

Output
energy above the most stable polymorph in this dataset	205	meV per atom
total moment	0.000	μB per atom
calculated volume	22.0	A^3/atom

=====

Number 1: E_form -70 meV per atom, raw total energy -1.5388 eV/atom. Number 2: E_form -112 meV per atom, raw total energy -1.8358 eV/atom. Number 3: E_form 190 meV per atom, raw total energy -3.1330 eV/atom. Number 4: E_form 113 meV per atom, raw total energy -3.2095 eV/atom. Number 5: E_form 428 meV per atom, raw total energy -3.3643 eV/atom. Number 6: E_form 22 meV per atom, raw total energy -3.3008 eV/atom. Number 7: E_form 71 meV per atom, raw total energy -4.9099 eV/atom. Number 8: E_form 186 meV per atom, raw total energy -2.4554 eV/atom. Number 9: E_form 57 meV per atom, raw total energy -3.2655 eV/atom. Number 10: E_form 18 meV per atom, raw total energy -3.3045 eV/atom. Number 11: E_form 255 meV per atom, raw total energy -4.7267 eV/atom. Number 12: E_form 369 meV per atom, raw total energy -2.9535 eV/atom. Number 13: E_form 48 meV per atom, raw total energy -4.9333 eV/atom. Number 14: E_form 61 meV per atom, raw total energy -2.2923 eV/atom.